A relaxed structure of Pr6CdRu2Br3, computed with GGA-PBE.

total magnetization	0.00	μB per formula unit
D(E_F)	6.1	states/eV/f.u.
formation energy without anion corrections	-0.7667	eV per atom

Cell: 7.332 7.332 8.323 Å, 98.39 98.39 119.99°
Fractional coordinates of all 12 atoms:
Pr: 0.062 0.432 0.796
Pr: 0.197 0.197 0.203
Pr: 0.432 0.062 0.796
Pr: 0.568 0.938 0.204
Pr: 0.803 0.803 0.797
Pr: 0.938 0.568 0.204
Cd: 0.500 0.500 0.000
Ru: 0.167 0.833 0.000
Ru: 0.833 0.167 0.000
Br: 0.000 0.000 0.500
Br: 0.333 0.667 0.500
Br: 0.667 0.333 0.500